BeNi3Au after structural relaxation. Source: the Alexandria database, functional GGA-PBE.

M_tot (μB/f.u.): 1.24
Energy relative to the elements (meV per atom): 1598.0
Energy (eV per atom): -3.271
SG: Pm-3m (221)
Mass density (g/cm³): 6.34
Energy above the lowest structure with this stoichiometry (meV/atom): 1332

Lattice parameters (Å, degrees): 4.641 4.641 4.641 90.00 90.00 90.00
Positions (direct):
Be  0.000  0.000  0.000
Ni  0.000  0.500  0.500
Ni  0.500  0.000  0.500
Ni  0.500  0.500  0.000
Au  0.500  0.500  0.500